No. 1
The following is a meta-GGA SCAN calculation of ScAl2Se at its PBEsol-relaxed geometry, from Alexandria via LeMat-Bulk.

Computed properties:
For the uncorrected formation energy, the calculation gives -52 kJ/mol of atoms. Its final energy is -51.99 eV per formula unit.

Cell and atoms, written as CIF:
```
data_ScAl2Se
_chemical_formula_sum 'Sc1 Al2 Se1'
_symmetry_space_group_name_H-M 'P m m 2'
_symmetry_Int_Tables_number 25
_symmetry_space_group_name_Hall 'P 2 -2'
_cell_length_a 3.565
_cell_length_b 3.679
_cell_length_c 6.044
_cell_angle_alpha 90.00
_cell_angle_beta 90.00
_cell_angle_gamma 90.00
loop_
_atom_site_label
_atom_site_type_symbol
_atom_site_fract_x
_atom_site_fract_y
_atom_site_fract_z
_atom_site_occupancy
Sc1 Sc 0.000 0.000 0.000 1
Al1 Al 0.000 0.000 0.505 1
Al2 Al 0.500 0.500 0.690 1
Se1 Se 0.500 0.500 0.119 1
```



No. 2
The following is a meta-GGA SCAN calculation of ScAlSi2 at its PBEsol-relaxed geometry, from Alexandria via LeMat-Bulk.

Computed properties:
For the uncorrected formation energy, the calculation gives -19 kJ/mol of atoms. Its final energy is -42.82 eV per formula unit.

Cell and atoms, written as CIF:
```
data_ScAlSi2
_chemical_formula_sum 'Sc1 Al1 Si2'
_symmetry_space_group_name_H-M 'P m m 2'
_symmetry_Int_Tables_number 25
_symmetry_space_group_name_Hall 'P 2 -2'
_cell_length_a 2.813
_cell_length_b 4.527
_cell_length_c 5.054
_cell_angle_alpha 90.00
_cell_angle_beta 90.00
_cell_angle_gamma 90.00
loop_
_atom_site_label
_atom_site_type_symbol
_atom_site_fract_x
_atom_site_fract_y
_atom_site_fract_z
_atom_site_occupancy
Sc1 Sc 0.000 0.000 0.000 1
Al1 Al 0.500 0.500 0.738 1
Si1 Si 0.500 0.000 0.491 1
Si2 Si 0.500 0.500 0.232 1
```



No. 3
The following is a meta-GGA SCAN calculation of Sc2AlSi at its PBEsol-relaxed geometry, from Alexandria via LeMat-Bulk.

Computed properties:
For the uncorrected formation energy, the calculation gives -63 kJ/mol of atoms. Its final energy is -48.87 eV per formula unit.

Cell and atoms, written as CIF:
```
data_Sc2AlSi
_chemical_formula_sum 'Sc4 Al2 Si2'
_symmetry_space_group_name_H-M 'A m m 2'
_symmetry_Int_Tables_number 38
_symmetry_space_group_name_Hall 'A 2 -2'
_cell_length_a 3.790
_cell_length_b 3.988
_cell_length_c 10.098
_cell_angle_alpha 90.00
_cell_angle_beta 90.00
_cell_angle_gamma 90.00
loop_
_atom_site_label
_atom_site_type_symbol
_atom_site_fract_x
_atom_site_fract_y
_atom_site_fract_z
_atom_site_occupancy
Sc1 Sc 0.000 0.000 0.000 1
Sc2 Sc 0.500 0.000 0.280 1
Al1 Al 0.500 0.000 0.563 1
Si1 Si 0.000 0.000 0.722 1
```



No. 4
The following is a meta-GGA SCAN calculation of ScAlSi2 at its PBEsol-relaxed geometry, from Alexandria via LeMat-Bulk.

Computed properties:
For the uncorrected formation energy, the calculation gives -14 kJ/mol of atoms. Its final energy is -42.59 eV per formula unit.

Cell and atoms, written as CIF:
```
data_ScAlSi2
_chemical_formula_sum 'Sc2 Al2 Si4'
_symmetry_space_group_name_H-M 'C m m m'
_symmetry_Int_Tables_number 65
_symmetry_space_group_name_Hall '-C 2 2'
_cell_length_a 5.574
_cell_length_b 7.738
_cell_length_c 2.971
_cell_angle_alpha 90.00
_cell_angle_beta 90.00
_cell_angle_gamma 90.00
loop_
_atom_site_label
_atom_site_type_symbol
_atom_site_fract_x
_atom_site_fract_y
_atom_site_fract_z
_atom_site_occupancy
Sc1 Sc 0.000 0.000 0.000 1
Al1 Al 0.000 0.500 0.000 1
Si1 Si 0.250 0.250 0.500 1
```